# 1
Below is MnHgSe2 after structural relaxation, with properties calculated at the GGA-PBE level.

Results
density = 6.20 g/cm3
ΔE_f (raw) = -189 meV/atom
space-group type = C2/m, No. 12
size of the total moment = 2.02 μB/cell

Cell: 6.762 5.344 7.474 Å, 69.04 66.83 66.69°
Each line ends with the local moment (μB).
Positions (direct):
Mn 0.011 0.041 0.576  1.09
Mn 0.011 0.543 0.576  1.15
Hg 0.683 0.156 0.176  -0.04
Hg 0.337 0.429 0.976  -0.04
Se 0.086 0.892 0.299  -0.05
Se 0.301 0.142 0.584  -0.06
Se 0.720 0.442 0.567  -0.06
Se 0.935 0.691 0.853  -0.05

---

# 2
Below is MnHgSe2 after structural relaxation, with properties calculated at the GGA-PBE level.

Results
density = 8.79 g/cm3
ΔE_f (raw) = 696 meV/atom
space-group type = I4/mcm, No. 140
size of the total moment = 0.31 μB/cell

Cell: 6.864 6.864 5.877 Å, 54.27 54.27 90.00°
Each line ends with the local moment (μB).
Positions (direct):
Mn 0.750 0.750 0.500  -0.09
Mn 0.250 0.250 0.500  -0.09
Hg 0.750 0.250 0.500  0.00
Hg 0.250 0.750 0.500  0.00
Se 0.777 0.277 0.000  -0.03
Se 0.223 0.723 0.000  -0.03
Se 0.277 0.223 0.000  -0.03
Se 0.723 0.777 0.000  -0.03

---

# 3
Below is MnHgSe2 after structural relaxation, with properties calculated at the GGA-PBE level.

Results
density = 7.49 g/cm3
ΔE_f (raw) = 160 meV/atom
space-group type = Cmm2, No. 35
size of the total moment = 3.75 μB/cell

Cell: 3.251 3.251 9.167 Å, 90.00 90.00 108.86°
Each line ends with the local moment (μB).
Positions (direct):
Hg 0.000 0.000 0.526  -0.03
Mn 0.500 0.500 0.752  3.72
Se 0.000 0.000 0.920  -0.06
Se 0.500 0.500 0.302  -0.07

---

# 4
Below is Mn2HgSe after structural relaxation, with properties calculated at the GGA-PBE level.

Results
density = 8.31 g/cm3
ΔE_f (raw) = 176 meV/atom
space-group type = Pm, No. 6
size of the total moment = 7.53 μB/cell

Cell: 4.690 3.536 4.690 Å, 89.94 90.00 90.00°
Each line ends with the local moment (μB).
Positions (direct):
Hg 0.500 0.722 0.873  -0.04
Mn 0.000 0.192 0.878  3.65
Mn 0.500 0.193 0.370  3.65
Se 0.000 0.393 0.378  -0.03

---

# 5
Below is MnHgSe2 after structural relaxation, with properties calculated at the GGA-PBE level.

Results
density = 6.87 g/cm3
ΔE_f (raw) = -205 meV/atom
space-group type = I4cm, No. 108
size of the total moment = 2.74 μB/cell

Cell: 6.622 5.520 6.624 Å, 65.34 79.96 65.32°
Each line ends with the local moment (μB).
Positions (direct):
Mn 0.586 0.528 0.576  1.44
Mn 0.586 0.029 0.576  1.44
Hg 0.086 0.779 0.076  -0.01
Hg 0.086 0.280 0.076  -0.01
Se 0.586 0.430 0.273  -0.07
Se 0.889 0.627 0.576  -0.07
Se 0.283 0.930 0.576  -0.07
Se 0.586 0.127 0.879  -0.07

---

# 6
Below is MnHgSe2 after structural relaxation, with properties calculated at the GGA-PBE level.

Results
density = 7.19 g/cm3
ΔE_f (raw) = -24 meV/atom
space-group type = R3m, No. 160
size of the total moment = 3.93 μB/cell

Cell: 7.199 7.199 7.199 Å, 32.44 32.44 32.44°
Each line ends with the local moment (μB).
Positions (direct):
Hg 0.497 0.497 0.497  -0.04
Mn 0.745 0.745 0.745  3.83
Se 0.030 0.030 0.030  -0.07
Se 0.228 0.228 0.228  -0.03

---

# 7
Below is Mn2HgSe after structural relaxation, with properties calculated at the GGA-PBE level.

Results
density = 8.15 g/cm3
ΔE_f (raw) = 106 meV/atom
space-group type = C2/m, No. 12
size of the total moment = 8.29 μB/cell

Cell: 3.603 3.603 7.353 Å, 75.66 75.66 60.12°
Each line ends with the local moment (μB).
Positions (direct):
Hg 0.250 0.250 0.250  -0.04
Mn 0.008 0.008 0.975  3.95
Mn 0.492 0.492 0.525  3.95
Se 0.750 0.750 0.750  0.04

---

# 8
Below is MnHgSe2 after structural relaxation, with properties calculated at the GGA-PBE level.

Results
density = 8.28 g/cm3
ΔE_f (raw) = 6 meV/atom
space-group type = Cmcm, No. 63
size of the total moment = 0.00 μB/cell

Cell: 13.655 13.655 4.025 Å, 90.00 90.00 167.24°
Positions (direct):
Mn 0.308 0.692 0.250
Mn 0.692 0.308 0.750
Hg 0.042 0.958 0.250
Hg 0.958 0.042 0.750
Se 0.216 0.784 0.250
Se 0.784 0.216 0.750
Se 0.876 0.124 0.250
Se 0.124 0.876 0.750

---

Q: The lowest density belongs to which entry?
A: number 1

---

Q: Which value of ΔE_f (raw) does entry 6 give?
A: -24 meV/atom

---

Q: Which value of size of the total moment does entry 6 give?
A: 3.93 μB/cell

---

Q: What is the formula in the first record?
A: MnHgSe2